Computed, not measured: crystalline Sm4Fe3CoAs4O4 at its relaxed geometry at the PBE with a Hubbard U level of DFT.

Structure (POSCAR):
```
Sm4Fe3CoAs4O4
1.0
4.0265 0.0000 0.0000
0.0000 4.0265 0.0000
0.0000 0.0000 18.1350
Sm Fe Co As O
4 3 1 4 4
Direct
0.5000 0.0000 0.1837
0.5000 0.0000 0.6903
0.0000 0.5000 0.8163
0.0000 0.5000 0.3097
0.5000 0.5000 0.5000
0.0000 0.0000 0.0000
0.0000 0.0000 0.5000
0.5000 0.5000 0.0000
0.5000 0.0000 0.9146
0.5000 0.0000 0.4090
0.0000 0.5000 0.0854
0.0000 0.5000 0.5910
0.5000 0.5000 0.7530
0.5000 0.5000 0.2470
0.0000 0.0000 0.7529
0.0000 0.0000 0.2471
```

Computed properties:
Electronic total energy   -6.554 eV per atom
Distance to the lowest polymorph of the same formula   5.0 meV/atom
Calculated volume   18.4 Å³ per atom